1.
A plane-wave DFT calculation with PBE was carried out for an optimized crystal structure of K2AsHF6.

Values from the calculation:
M_tot   0.000 μB per atom
Raw total energy   -45.0 eV per cell

Lattice parameters (Å, degrees): 6.550 6.285 6.412 120.79 120.99 96.20
Fractional positions:
K1 0.743 0.205 0.495
K2 0.228 0.812 0.517
As1 0.992 0.010 0.999
H1 0.588 0.510 0.243
F1 0.673 0.730 0.807
F2 0.775 0.757 0.434
F3 0.432 0.293 0.093
F4 0.802 0.227 0.959
F5 0.106 0.191 0.406
F6 0.159 0.768 0.046

=====

2.
A plane-wave DFT calculation with PBE was carried out for an optimized crystal structure of CoSiGe2Rh.

Values from the calculation:
Formation energy (no corrections)   0.5843 eV per atom
M_tot   0.261 μB per atom

Lattice parameters (Å, degrees): 4.349 4.780 4.349 90.00 90.00 90.00
Fractional positions:
Co1 0.000 0.000 0.000
Ge1 0.000 0.000 0.500
Ge2 0.500 0.000 0.000
Rh1 0.000 0.500 0.000
Si1 0.500 0.500 0.500

=====

3.
A plane-wave DFT calculation with PBE was carried out for an optimized crystal structure of PaTi5Sb4.

Values from the calculation:
Formation energy (no corrections)   -0.1506 eV per atom
M_tot   0.000 μB per atom

Lattice parameters (Å, degrees): 5.024 10.009 8.535 90.00 90.00 90.00
Fractional positions:
Pa1 0.708 0.000 0.000
Pa2 0.292 0.500 0.500
Ti1 0.248 0.741 0.669
Ti2 0.248 0.259 0.669
Ti3 0.509 0.500 0.000
Ti4 0.248 0.741 0.331
Ti5 0.248 0.259 0.331
Ti6 0.752 0.759 0.169
Ti7 0.752 0.241 0.169
Ti8 0.491 0.000 0.500
Ti9 0.752 0.241 0.831
Ti10 0.752 0.759 0.831
Sb1 0.000 0.000 0.681
Sb2 0.261 0.783 0.000
Sb3 0.261 0.217 0.000
Sb4 0.000 0.000 0.319
Sb5 0.000 0.500 0.181
Sb6 0.739 0.717 0.500
Sb7 0.739 0.283 0.500
Sb8 0.000 0.500 0.819

=====

4.
A plane-wave DFT calculation with PBE was carried out for an optimized crystal structure of Pr3AsIrCl.

Values from the calculation:
Formation energy (no corrections)   -1.0030 eV per atom
M_tot   0.000 μB per atom

Lattice parameters (Å, degrees): 4.232 8.624 9.429 103.65 90.00 90.00
Fractional positions:
Pr1 0.250 0.733 0.507
Pr2 0.750 0.888 0.120
Pr3 0.750 0.428 0.147
Pr4 0.750 0.267 0.493
Pr5 0.250 0.572 0.853
Pr6 0.250 0.112 0.880
As1 0.750 0.823 0.778
As2 0.250 0.177 0.222
Ir1 0.250 0.667 0.164
Ir2 0.750 0.333 0.836
Cl1 0.250 0.102 0.586
Cl2 0.750 0.898 0.414

=====

5.
A plane-wave DFT calculation with PBE was carried out for an optimized crystal structure of Ac3HgGe2Au6.

Values from the calculation:
Calculated formation energy   -478 meV per atom
M_tot   0.000 μB per atom

Lattice parameters (Å, degrees): 6.541 6.541 8.553 90.00 90.00 120.00
Fractional positions:
Ac1 0.333 0.667 0.648
Ac2 0.667 0.333 0.352
Ac3 0.000 0.000 0.000
Hg1 0.000 0.000 0.500
Ge1 0.667 0.333 0.952
Ge2 0.333 0.667 0.048
Au1 0.635 0.817 0.280
Au2 0.183 0.365 0.280
Au3 0.183 0.817 0.280
Au4 0.817 0.635 0.720
Au5 0.365 0.183 0.720
Au6 0.817 0.183 0.720

=====

6.
A plane-wave DFT calculation with PBE was carried out for an optimized crystal structure of ScP2Rh.

Values from the calculation:
Excess energy over the best structure of this formula in the dataset   0.569 eV per atom
Calculated formation energy   -352 meV per atom
M_tot   0.000 μB per atom

Lattice parameters (Å, degrees): 7.361 7.361 7.361 25.36 25.36 25.36
Fractional positions:
P1 0.988 0.988 0.988
P2 0.254 0.254 0.254
Rh1 0.510 0.510 0.510
Sc1 0.749 0.749 0.749

=====

7.
A plane-wave DFT calculation with PBE was carried out for an optimized crystal structure of Cr2MoW.

Values from the calculation:
Calculated formation energy   86 meV per atom
M_tot   0.017 μB per atom

Lattice parameters (Å, degrees): 4.295 4.295 4.295 60.00 60.00 60.00
Fractional positions:
Cr1 0.000 0.000 0.000
Cr2 0.250 0.250 0.250
Mo1 0.500 0.500 0.500
W1 0.750 0.750 0.750

=====

8.
A plane-wave DFT calculation with PBE was carried out for an optimized crystal structure of Ca3PaRh4.

Values from the calculation:
Calculated formation energy   -559 meV per atom
M_tot   0.000 μB per atom

Lattice parameters (Å, degrees): 4.787 4.891 7.729 103.98 108.04 90.00
Fractional positions:
Ca1 0.000 0.500 0.000
Ca2 0.753 0.260 0.506
Ca3 0.247 0.740 0.494
Pa1 0.500 0.000 0.000
Rh1 0.390 0.321 0.780
Rh2 0.610 0.679 0.220
Rh3 0.111 0.101 0.223
Rh4 0.889 0.899 0.777

=====

9.
A plane-wave DFT calculation with PBE was carried out for an optimized crystal structure of Ac2BeSb.

Values from the calculation:
Excess energy over the best structure of this formula in the dataset   0.612 eV per atom
Formation energy (no corrections)   0.3710 eV per atom
M_tot   0.123 μB per atom

Lattice parameters (Å, degrees): 4.417 4.417 10.700 78.09 78.09 60.00
Fractional positions:
Sb1 0.500 0.500 0.500
Ac1 0.101 0.101 0.697
Ac2 0.899 0.899 0.303
Be1 0.000 0.000 0.000

=====

10.
A plane-wave DFT calculation with PBE was carried out for an optimized crystal structure of Re4PCl.

Values from the calculation:
Formation energy (no corrections)   1.3922 eV per atom
M_tot   0.000 μB per atom

Lattice parameters (Å, degrees): 5.255 5.255 5.255 60.00 60.00 60.00
Fractional positions:
Re1 0.625 0.625 0.124
Re2 0.625 0.124 0.625
Re3 0.625 0.625 0.625
Re4 0.124 0.625 0.625
P1 0.000 0.000 0.000
Cl1 0.250 0.250 0.250

=====

11.
A plane-wave DFT calculation with PBE was carried out for an optimized crystal structure of BaUPb2Se6.

Values from the calculation:
Formation energy (no corrections)   -0.9776 eV per atom
M_tot   0.000 μB per atom

Lattice parameters (Å, degrees): 7.639 7.638 8.019 61.51 61.50 59.94
Fractional positions:
Ba1 0.811 0.811 0.568
U1 0.326 0.326 0.022
Pb1 0.523 0.524 0.430
Pb2 0.009 0.009 0.972
Se1 0.563 0.227 0.241
Se2 0.227 0.968 0.242
Se3 0.968 0.563 0.242
Se4 0.386 0.701 0.766
Se5 0.701 0.146 0.766
Se6 0.147 0.386 0.766

=====

12.
A plane-wave DFT calculation with PBE was carried out for an optimized crystal structure of MoWSe2.

Values from the calculation:
Excess energy over the best structure of this formula in the dataset   0.866 eV per atom
Formation energy (no corrections)   0.7110 eV per atom
M_tot   0.000 μB per atom

Lattice parameters (Å, degrees): 3.067 5.637 4.081 90.00 90.00 90.00
Fractional positions:
Mo1 0.000 0.500 0.500
Se1 0.000 0.000 0.000
Se2 0.500 0.500 0.000
W1 0.500 0.000 0.500